Computed, not measured: a relaxed Rb2FeTeF crystal at the GGA+U level of DFT.

Values from the calculation:
DFT total energy in eV per cell: -15.1
Volume in Å³/f.u.: 211
Size of the total moment in μB per cell: 3.01
Mass density in Mg/m³: 2.93

Cell lengths 6.674, 4.747, 6.674 Å; angles 90.00, 90.00, 90.00 degrees
Atoms (fractional coordinates):
Te: 0.000 0.500 0.000
Rb: 0.500 0.000 0.000
F: 0.500 0.500 0.500
Rb: 0.000 0.000 0.500
Fe: 0.000 0.000 0.000